(1)
The following is a DFT calculation (PBE) of a relaxed Nb3HgOs crystal.

Properties
space-group type: Pm-3m, No. 221
energy above the most stable polymorph in this dataset: 0.00 eV/f.u.
magnetization: 0.00 Bohr magnetons per cell
formation energy from the elements: 91 kJ per mole of atoms

Cell and atoms, written as POSCAR:
```
Nb3HgOs
1.0
-3.849 1.261 -2.705
2.019 -2.151 -3.876
-2.198 -4.184 1.177
Nb Os Hg
3 1 1
direct
0.000 0.000 0.500
0.500 0.000 0.000
0.000 0.500 0.000
0.000 0.000 0.000
0.500 0.500 0.500
```

(2)
The following is a DFT calculation (PBE) of a relaxed KBe6As4 crystal.

Properties
space-group type: Fmmm, No. 69
magnetization: 0.00 Bohr magnetons per cell
formation energy from the elements: -8 kJ per mole of atoms

Cell and atoms, written as POSCAR:
```
KBe6As4
1.0
3.683 0.194 -0.566
0.116 3.686 -0.566
-0.030 -0.031 13.380
Be K As
6 1 4
direct
0.633 0.133 0.265
0.750 0.250 0.500
0.250 0.750 0.500
0.133 0.633 0.265
0.367 0.867 0.735
0.867 0.367 0.735
0.000 0.000 0.000
0.805 0.805 0.609
0.195 0.195 0.391
0.414 0.414 0.829
0.586 0.586 0.171
```

(3)
The following is a DFT calculation (PBE) of a relaxed LiAs2Pt crystal.

Properties
space-group type: Pmm2, No. 25
magnetization: 0.00 Bohr magnetons per cell
formation energy from the elements: -23 kJ per mole of atoms

Cell and atoms, written as POSCAR:
```
LiAs2Pt
1.0
2.914 0.000 0.000
0.000 4.060 0.000
0.000 0.000 5.561
As Pt Li
2 1 1
direct
0.500 0.500 0.301
0.000 0.000 0.954
0.500 0.500 0.770
0.000 0.000 0.474
```

(4)
The following is a DFT calculation (PBE) of a relaxed AlGaO2 crystal.

Properties
space-group type: R-3m, No. 166
magnetization: 0.00 Bohr magnetons per cell
raw formation energy: -2.182 eV per atom

Cell and atoms, written as POSCAR:
```
AlGaO2
1.0
1.621 0.000 6.090
-0.810 1.404 6.090
-0.810 -1.404 6.090
Al Ga O
1 1 2
direct
0.500 0.500 0.500
0.000 0.000 0.000
0.113 0.113 0.113
0.887 0.887 0.887
```

(5)
The following is a DFT calculation (PBE) of a relaxed CaBe2Ru crystal.

Properties
space-group type: P4/mmm, No. 123
energy above the most stable polymorph in this dataset: 0.28 eV/f.u.
magnetization: 0.00 Bohr magnetons per cell
formation energy from the elements: -6 kJ per mole of atoms

Cell and atoms, written as POSCAR:
```
CaBe2Ru
1.0
-2.483 0.510 -1.758
0.906 -2.230 -1.926
-2.225 -6.304 1.315
Ru Be Ca
1 2 1
direct
0.500 0.750 0.750
0.000 0.081 0.918
0.000 0.419 0.582
0.500 0.250 0.250
```

(6)
The following is a DFT calculation (PBE) of a relaxed Ca4SiAs crystal.

Properties
space-group type: P4/mmm, No. 123
energy above the most stable polymorph in this dataset: 0.00 eV/f.u.
magnetization: 0.00 Bohr magnetons per cell
raw formation energy: -0.708 eV per atom

Cell and atoms, written as POSCAR:
```
Ca4SiAs
1.0
5.010 0.000 0.000
0.000 5.010 0.000
0.000 0.000 7.074
Ca As Si
4 1 1
direct
0.500 0.000 0.245
0.000 0.500 0.755
0.500 0.000 0.755
0.000 0.500 0.245
0.000 0.000 0.500
0.500 0.500 0.000
```

(7)
The following is a DFT calculation (PBE) of a relaxed H2Rh2I crystal.

Properties
space-group type: I4/mmm, No. 139
energy above the most stable polymorph in this dataset: 0.00 eV/f.u.
magnetization: 0.00 Bohr magnetons per cell

Cell and atoms, written as POSCAR:
```
H2Rh2I
1.0
-1.147 -3.468 -1.225
-0.148 -1.238 3.645
-4.961 -1.025 1.487
H Rh I
2 2 1
direct
0.709 0.709 0.582
0.291 0.291 0.418
0.250 0.750 0.500
0.750 0.250 0.500
0.000 0.000 0.000
```

(8)
The following is a DFT calculation (PBE) of a relaxed Mg7TlRh4 crystal.

Properties
space-group type: C2/m, No. 12
magnetization: 0.00 Bohr magnetons per cell
formation energy from the elements: -13 kJ per mole of atoms

Cell and atoms, written as POSCAR:
```
Mg7TlRh4
1.0
-4.750 -1.250 -0.037
-1.728 -2.871 -7.185
-0.823 -6.558 1.283
Mg Rh Tl
7 4 1
direct
0.932 0.369 0.768
0.220 0.130 0.430
0.322 0.618 0.739
0.500 0.000 0.000
0.068 0.631 0.232
0.780 0.870 0.570
0.678 0.382 0.261
0.309 0.345 0.038
0.567 0.220 0.646
0.691 0.655 0.962
0.433 0.780 0.354
0.000 0.000 0.000
```

(9)
The following is a DFT calculation (PBE) of a relaxed TiMn7Ge4 crystal.

Properties
space-group type: P-1, No. 2
magnetization: 15.11 Bohr magnetons per cell
formation energy from the elements: 7 kJ per mole of atoms

Cell and atoms, written as POSCAR:
```
TiMn7Ge4
1.0
4.386 0.536 0.835
2.974 7.575 0.862
0.000 0.200 5.244
Mn Ti Ge
7 1 4
direct
0.945 0.333 0.826
0.801 0.886 0.548
0.500 0.000 0.000
0.726 0.436 0.292
0.055 0.667 0.174
0.199 0.114 0.452
0.274 0.564 0.708
0.000 0.000 0.000
0.422 0.779 0.384
0.578 0.221 0.616
0.367 0.323 0.122
0.633 0.677 0.878
```

(10)
The following is a DFT calculation (PBE) of a relaxed Rb2HfPbC crystal.

Properties
space-group type: P4/mmm, No. 123
magnetization: 2.91 Bohr magnetons per cell
formation energy from the elements: 173 kJ per mole of atoms

Cell and atoms, written as POSCAR:
```
Rb2HfPbC
1.0
-1.262 -4.781 5.394
3.822 0.855 1.653
-2.944 5.340 4.045
Rb C Pb Hf
2 1 1 1
direct
0.500 0.000 0.000
0.000 0.000 0.500
0.000 0.500 0.000
0.000 0.000 0.000
0.500 0.500 0.500
```

(11)
The following is a DFT calculation (PBE) of a relaxed Re2GeBr2 crystal.

Properties
space-group type: I4/mmm, No. 139
energy above the most stable polymorph in this dataset: 0.00 eV/f.u.
magnetization: 0.00 Bohr magnetons per cell
raw formation energy: 1.379 eV per atom

Cell and atoms, written as POSCAR:
```
Re2GeBr2
1.0
-0.023 2.996 -3.042
1.429 -2.861 -2.829
-4.477 -1.264 -4.206
Ge Re Br
1 2 2
direct
0.000 0.000 0.000
0.750 0.250 0.500
0.250 0.750 0.500
0.366 0.366 0.268
0.634 0.634 0.732
```

(12)
The following is a DFT calculation (PBE) of a relaxed Cd2CuTe crystal.

Properties
space-group type: P4mm, No. 99
magnetization: 0.00 Bohr magnetons per cell
raw formation energy: 0.091 eV per atom

Cell and atoms, written as POSCAR:
```
Cd2CuTe
1.0
-0.297 3.185 2.047
-2.206 -1.814 2.503
5.593 -1.806 3.620
Cu Cd Te
1 2 1
direct
0.000 0.000 0.626
0.000 0.000 0.022
0.500 0.500 0.214
0.500 0.500 0.638
```